The following is a DFT calculation (GGA-PBE) of BaNb3Tl after structural relaxation.

The structure in CIF format:
```
data_BaNb3Tl
_chemical_formula_sum 'Ba1 Nb3 Tl1'
_symmetry_space_group_name_H-M 'P m -3 m'
_symmetry_Int_Tables_number 221
_symmetry_space_group_name_Hall '-P 4 2 3'
_cell_length_a 5.349
_cell_length_b 5.349
_cell_length_c 5.349
_cell_angle_alpha 90.00
_cell_angle_beta 90.00
_cell_angle_gamma 90.00
loop_
_atom_site_label
_atom_site_type_symbol
_atom_site_fract_x
_atom_site_fract_y
_atom_site_fract_z
_atom_site_occupancy
Ba1 Ba 0.000 0.000 0.000 1
Nb1 Nb 0.000 0.500 0.500 1
Tl1 Tl 0.500 0.500 0.500 1
```

Output
Formation energy from the elements: 1767 meV per atom
Excess energy over the best structure of this formula in the dataset: 0.000 eV/atom



The following is a DFT calculation (GGA-PBE) of CrCoRh2 after structural relaxation.

The structure in CIF format:
```
data_CrCoRh2
_chemical_formula_sum 'Cr2 Co2 Rh4'
_symmetry_space_group_name_H-M 'C 1 2/m 1'
_symmetry_Int_Tables_number 12
_symmetry_space_group_name_Hall '-C 2y'
_cell_length_a 8.630
_cell_length_b 2.675
_cell_length_c 4.604
_cell_angle_alpha 90.00
_cell_angle_beta 100.55
_cell_angle_gamma 90.00
loop_
_atom_site_label
_atom_site_type_symbol
_atom_site_fract_x
_atom_site_fract_y
_atom_site_fract_z
_atom_site_occupancy
Cr1 Cr 0.000 0.000 0.000 1
Co1 Co 0.000 0.500 0.500 1
Rh1 Rh 0.249 0.500 0.251 1
```

Output
Formation energy from the elements: 30 meV per atom



The following is a DFT calculation (GGA-PBE) of KBaCd2Ag2 after structural relaxation.

The structure in CIF format:
```
data_KBaCd2Ag2
_chemical_formula_sum 'K1 Ba1 Cd2 Ag2'
_symmetry_space_group_name_H-M 'P -3 m 1'
_symmetry_Int_Tables_number 164
_symmetry_space_group_name_Hall '-P 3 2"'
_cell_length_a 4.9686
_cell_length_b 4.9686
_cell_length_c 9.2090
_cell_angle_alpha 90.00
_cell_angle_beta 90.00
_cell_angle_gamma 120.00
loop_
_atom_site_label
_atom_site_type_symbol
_atom_site_fract_x
_atom_site_fract_y
_atom_site_fract_z
_atom_site_occupancy
K1 K 0.0000 0.0000 0.0000 1
Ba1 Ba 0.0000 0.0000 0.5000 1
Cd1 Cd 0.3333 0.6667 0.7465 1
Ag1 Ag 0.3333 0.6667 0.2624 1
```

Output
Formation energy from the elements: -163 meV per atom



The following is a DFT calculation (GGA-PBE) of SmGaC after structural relaxation.

The structure in CIF format:
```
data_SmGaC
_chemical_formula_sum 'Sm4 Ga4 C4'
_symmetry_space_group_name_H-M 'C 1 2/m 1'
_symmetry_Int_Tables_number 12
_symmetry_space_group_name_Hall '-C 2y'
_cell_length_a 7.531
_cell_length_b 4.035
_cell_length_c 7.667
_cell_angle_alpha 90.00
_cell_angle_beta 105.74
_cell_angle_gamma 90.00
loop_
_atom_site_label
_atom_site_type_symbol
_atom_site_fract_x
_atom_site_fract_y
_atom_site_fract_z
_atom_site_occupancy
Sm1 Sm 0.085 0.000 0.306 1
Ga1 Ga 0.167 0.500 0.019 1
C1 C 0.089 0.500 0.540 1
```

Output
Formation energy from the elements: -425 meV per atom
Excess energy over the best structure of this formula in the dataset: 0.000 eV/atom



The following is a DFT calculation (GGA-PBE) of ZrTc2Rh2 after structural relaxation.

The structure in CIF format:
```
data_ZrTc2Rh2
_chemical_formula_sum 'Zr2 Tc4 Rh4'
_symmetry_space_group_name_H-M 'P 4/m b m'
_symmetry_Int_Tables_number 127
_symmetry_space_group_name_Hall '-P 4 2ab'
_cell_length_a 7.603
_cell_length_b 7.603
_cell_length_c 2.778
_cell_angle_alpha 90.00
_cell_angle_beta 90.00
_cell_angle_gamma 90.00
loop_
_atom_site_label
_atom_site_type_symbol
_atom_site_fract_x
_atom_site_fract_y
_atom_site_fract_z
_atom_site_occupancy
Zr1 Zr 0.000 0.000 0.000 1
Tc1 Tc 0.119 0.381 0.000 1
Rh1 Rh 0.176 0.676 0.500 1
```

Output
Formation energy from the elements: -148 meV per atom
Excess energy over the best structure of this formula in the dataset: 0.000 eV/atom



The following is a DFT calculation (GGA-PBE) of CsHoSe4 after structural relaxation.

The structure in CIF format:
```
data_CsHoSe4
_chemical_formula_sum 'Cs2 Ho2 Se8'
_symmetry_space_group_name_H-M 'P 4/n b m'
_symmetry_Int_Tables_number 125
_cell_length_a 6.300
_cell_length_b 6.300
_cell_length_c 9.060
_cell_angle_alpha 90.00
_cell_angle_beta 90.00
_cell_angle_gamma 90.00
loop_
_symmetry_equiv_pos_as_xyz
'x,y,z'
'-x,-y,-z'
'-y+1/2,x,z'
'y+1/2,-x,-z'
'-x+1/2,-y+1/2,z'
'x+1/2,y+1/2,-z'
'y,-x+1/2,z'
'-y,x+1/2,-z'
'x,-y+1/2,-z'
'-x,y+1/2,z'
'-y+1/2,-x+1/2,-z'
'y+1/2,x+1/2,z'
'-x+1/2,y,-z'
'x+1/2,-y,z'
'y,x,-z'
'-y,-x,z'
loop_
_atom_site_label
_atom_site_type_symbol
_atom_site_fract_x
_atom_site_fract_y
_atom_site_fract_z
_atom_site_occupancy
Cs1 Cs 0.250 0.250 0.000 1
Ho1 Ho 0.250 0.250 0.500 1
Se1 Se 0.113 0.613 0.312 1
```

Output
Formation energy (no corrections): -1.160 eV per atom



The following is a DFT calculation (GGA-PBE) of Ce7CdAu4 after structural relaxation.

The structure in CIF format:
```
data_Ce7CdAu4
_chemical_formula_sum 'Ce14 Cd2 Au8'
_symmetry_space_group_name_H-M 'C 1 2/m 1'
_symmetry_Int_Tables_number 12
_symmetry_space_group_name_Hall '-C 2y'
_cell_length_a 14.459
_cell_length_b 5.762
_cell_length_c 9.023
_cell_angle_alpha 90.00
_cell_angle_beta 123.49
_cell_angle_gamma 90.00
loop_
_atom_site_label
_atom_site_type_symbol
_atom_site_fract_x
_atom_site_fract_y
_atom_site_fract_z
_atom_site_occupancy
Ce1 Ce 0.000 0.000 0.000 1
Ce2 Ce 0.052 0.500 0.407 1
Ce3 Ce 0.211 0.500 0.927 1
Ce4 Ce 0.233 0.000 0.710 1
Cd1 Cd 0.000 0.500 0.000 1
Au1 Au 0.029 0.000 0.697 1
Au2 Au 0.202 0.000 0.354 1
```

Output
Formation energy from the elements: -297 meV per atom



The following is a DFT calculation (GGA-PBE) of MnAlSe2N after structural relaxation.

The structure in CIF format:
```
data_MnAlSe2N
_chemical_formula_sum 'Mn1 Al1 Se2 N1'
_symmetry_space_group_name_H-M 'P 4/m m m'
_symmetry_Int_Tables_number 123
_symmetry_space_group_name_Hall '-P 4 2'
_cell_length_a 5.075
_cell_length_b 5.075
_cell_length_c 3.597
_cell_angle_alpha 90.00
_cell_angle_beta 90.00
_cell_angle_gamma 90.00
loop_
_atom_site_label
_atom_site_type_symbol
_atom_site_fract_x
_atom_site_fract_y
_atom_site_fract_z
_atom_site_occupancy
Mn1 Mn 0.000 0.000 0.000 1
Al1 Al 0.500 0.500 0.500 1
Se1 Se 0.000 0.500 0.500 1
N1 N 0.500 0.500 0.000 1
```

Output
Formation energy (no corrections): 0.274 eV per atom
Excess energy over the best structure of this formula in the dataset: 0.161 eV/atom



In the order shown, the computed total DFT energy (no corrections) values come out to -25.7; -62.6; -11.5; -73.0; -89.4; -52.7; -118.2; -26.8 eV/cell.